[1]
## Ni4SbSe2 (PBE-GGA)

Data for Ni4SbSe2 after structural relaxation. Values from VASP.

The structure in Quantum ESPRESSO input format:
```
&SYSTEM
  ibrav = 0, nat = 7, ntyp = 3
/
ATOMIC_SPECIES
Ni 58.69 Ni.upf
Sb 121.76 Sb.upf
Se 78.96 Se.upf
CELL_PARAMETERS angstrom
-4.000 1.642 -1.882
-2.306 -1.062 3.975
-1.890 5.936 3.288
ATOMIC_POSITIONS angstrom
Ni -2.000 0.821 -0.941
Ni -5.805 2.820 2.982
Sb 0.000 0.000 0.000
Ni -1.153 -0.531 1.987
Se -2.841 1.684 1.599
Ni -2.391 3.696 2.398
Se -5.355 4.833 3.781
```

Summary:
For the calculated volume, the calculation gives 19.7 Å³/atom. The density of states at the Fermi level comes out at 7.736 states/eV/cell. The electronic total energy is -30.05 eV for the cell shown. The formation energy (no corrections) is 4.171 eV per formula unit. As for the space group: I4/mmm.


[2]
## MnTc2Rh (PBE-GGA)

Data for MnTc2Rh after structural relaxation. Values from VASP.

The structure in Quantum ESPRESSO input format:
```
&SYSTEM
  ibrav = 0, nat = 4, ntyp = 3
/
ATOMIC_SPECIES
Rh 102.91 Rh.upf
Tc 98.00 Tc.upf
Mn 54.94 Mn.upf
CELL_PARAMETERS angstrom
2.726 0.000 0.000
0.000 2.726 0.000
0.000 0.000 7.508
ATOMIC_POSITIONS angstrom
Rh 1.363 1.363 5.579
Tc 1.363 1.363 1.939
Mn 0.000 0.000 3.739
Tc 0.000 0.000 0.005
```

Summary:
For the calculated volume, the calculation gives 14.0 Å³/atom. The value obtained for the energy relative to the elements is 1.8 kJ per mole of atoms. The density of states at the Fermi level comes out at 5.228 states/eV/cell. For the energy above the most stable polymorph in this dataset, the calculation gives 45 meV per atom. The electronic total energy is -37.18 eV for the cell shown. As for the space group: P4mm.